Record 1
Entry from the Alexandria database: a geometry-optimized LiCoW2 structure (PBE-GGA).

As for the energy above the most stable polymorph in this dataset: 522 meV/atom. The value obtained for the formation enthalpy at 0 K is 0.8121 eV per atom.

It has space group I-42d (No. 122), with a = 6.868 Å, b = 6.868 Å, c = 5.076 Å, α = 90.00°, β = 90.00° and γ = 90.00°. The asymmetric unit holds Li at (0.000, 0.000, 0.000), Co at (0.000, 0.000, 0.500) and W at (0.213, 0.250, 0.625).

=====

Record 2
Entry from the Alexandria database: a geometry-optimized LiCo2W structure (PBE-GGA).

The value obtained for the formation enthalpy at 0 K is 0.2624 eV per atom.

It has space group Cmmm (No. 65), with a = 3.050 Å, b = 4.262 Å, c = 8.163 Å, α = 90.00°, β = 90.00° and γ = 90.00°. The asymmetric unit holds Li at (0.000, 0.000, 0.000), Co at (0.000, 0.500, 0.253) and W at (0.000, 0.000, 0.500).

=====

Record 3
Entry from the Alexandria database: a geometry-optimized LiCo2W2 structure (PBE-GGA).

The value obtained for the formation enthalpy at 0 K is 0.2205 eV per atom.

It has space group P4/mbm (No. 127), with a = 7.233 Å, b = 7.233 Å, c = 2.670 Å, α = 90.00°, β = 90.00° and γ = 90.00°. The asymmetric unit holds Li at (0.000, 0.000, 0.000), Co at (0.129, 0.371, 0.000) and W at (0.164, 0.664, 0.500).

=====

Record 4
Entry from the Alexandria database: a geometry-optimized LiCoW2 structure (PBE-GGA).

As for the energy above the most stable polymorph in this dataset: 163 meV/atom. The value obtained for the formation enthalpy at 0 K is 0.4530 eV per atom.

It has space group I4/mmm (No. 139), with a = 3.782 Å, b = 3.782 Å, c = 7.602 Å, α = 90.00°, β = 90.00° and γ = 90.00°. The asymmetric unit holds Li at (0.000, 0.000, 0.000), Co at (0.000, 0.000, 0.500) and W at (0.000, 0.500, 0.250).

=====

Record 5
Entry from the Alexandria database: a geometry-optimized Li2ZnCoW structure (PBE-GGA).

The value obtained for the formation enthalpy at 0 K is 1.8749 eV per atom.

It has space group P4/mmm (No. 123), with a = 4.826 Å, b = 4.826 Å, c = 4.919 Å, α = 90.00°, β = 90.00° and γ = 90.00°. The asymmetric unit holds Li at (0.000, 0.500, 0.000), Zn at (0.000, 0.000, 0.500), Co at (0.500, 0.500, 0.500) and W at (0.000, 0.000, 0.000).

=====

Record 6
Entry from the Alexandria database: a geometry-optimized LiZrCo2W structure (PBE-GGA).

The value obtained for the formation enthalpy at 0 K is 1.1142 eV per atom.

It has space group P4/mmm (No. 123), with a = 4.546 Å, b = 4.546 Å, c = 4.996 Å, α = 90.00°, β = 90.00° and γ = 90.00°. The asymmetric unit holds Li at (0.000, 0.000, 0.000), Zr at (0.500, 0.500, 0.000), Co at (0.000, 0.500, 0.500) and W at (0.500, 0.500, 0.500).

=====

Record 7
Entry from the Alexandria database: a geometry-optimized LiY4Co structure (PBE-GGA).

As for the energy above the most stable polymorph in this dataset: 829 meV/atom. The value obtained for the formation enthalpy at 0 K is 0.8058 eV per atom.

It has space group F-43m (No. 216), with a = 8.902 Å, b = 8.902 Å, c = 8.902 Å, α = 90.00°, β = 90.00° and γ = 90.00°. The asymmetric unit holds Li at (0.000, 0.000, 0.000), Y at (0.124, 0.124, 0.624) and Co at (0.250, 0.250, 0.250).

=====

Record 8
Entry from the Alexandria database: a geometry-optimized LiYCo3 structure (PBE-GGA).

As for the energy above the most stable polymorph in this dataset: 1033 meV/atom. The value obtained for the formation enthalpy at 0 K is 1.5370 eV per atom.

It has space group Pm-3m (No. 221), with a = 4.776 Å, b = 4.776 Å, c = 4.776 Å, α = 90.00°, β = 90.00° and γ = 90.00°. The asymmetric unit holds Li at (0.000, 0.000, 0.000), Y at (0.500, 0.500, 0.500) and Co at (0.000, 0.500, 0.500).

=====

Record 9
Entry from the Alexandria database: a geometry-optimized LiY2Co structure (PBE-GGA).

The value obtained for the formation enthalpy at 0 K is 0.1977 eV per atom.

It has space group P4mm (No. 99), with a = 3.805 Å, b = 3.805 Å, c = 6.277 Å, α = 90.00°, β = 90.00° and γ = 90.00°. The asymmetric unit holds Li at (0.000, 0.000, 0.000), Y at (0.000, 0.000, 0.577), Y at (0.500, 0.500, 0.228) and Co at (0.500, 0.500, 0.693).

=====

Record 10
Entry from the Alexandria database: a geometry-optimized LiY2Co structure (PBE-GGA).

The value obtained for the formation enthalpy at 0 K is 0.0102 eV per atom.

It has space group R3m (No. 160, hexagonal axes), with a = 3.8569 Å, b = 3.8569 Å, c = 24.4936 Å, α = 90.00°, β = 90.00° and γ = 120.00°. The asymmetric unit holds Li at (0.0000, 0.0000, 0.0000), Y at (0.0000, 0.0000, 0.2283), Y at (0.0000, 0.0000, 0.4429) and Co at (0.0000, 0.0000, 0.8359).

=====

Record 11
Entry from the Alexandria database: a geometry-optimized LiY2Co structure (PBE-GGA).

The value obtained for the formation enthalpy at 0 K is 0.2586 eV per atom.

It has space group I-42d (No. 122), with a = 7.625 Å, b = 7.625 Å, c = 6.474 Å, α = 90.00°, β = 90.00° and γ = 90.00°. The asymmetric unit holds Li at (0.000, 0.000, 0.000), Y at (0.205, 0.250, 0.625) and Co at (0.000, 0.000, 0.500).

=====

Record 12
Entry from the Alexandria database: a geometry-optimized LiY2Co structure (PBE-GGA).

The value obtained for the formation enthalpy at 0 K is 0.2077 eV per atom.

It has space group I-4m2 (No. 119), with a = 4.081 Å, b = 4.081 Å, c = 10.258 Å, α = 90.00°, β = 90.00° and γ = 90.00°. The asymmetric unit holds Li at (0.000, 0.000, 0.000), Y at (0.000, 0.000, 0.500), Y at (0.000, 0.500, 0.750) and Co at (0.000, 0.500, 0.250).

=====

Record 13
Entry from the Alexandria database: a geometry-optimized Li2YCo9 structure (PBE-GGA).

The value obtained for the formation enthalpy at 0 K is -0.0079 eV per atom.

It has space group P4/mbm (No. 127), with a = 8.021 Å, b = 8.021 Å, c = 4.787 Å, α = 90.00°, β = 90.00° and γ = 90.00°. The asymmetric unit holds Li at (0.115, 0.385, 0.000), Y at (0.000, 0.000, 0.000), Co at (0.000, 0.500, 0.500), Co at (0.068, 0.212, 0.500) and Co at (0.180, 0.680, 0.237).

=====

Record 14
Entry from the Alexandria database: a geometry-optimized Li3YCo structure (PBE-GGA).

As for the energy above the most stable polymorph in this dataset: 0 meV/atom. The value obtained for the formation enthalpy at 0 K is 0.4446 eV per atom.

It has space group Pm-3m (No. 221), with a = 4.534 Å, b = 4.534 Å, c = 4.534 Å, α = 90.00°, β = 90.00° and γ = 90.00°. The asymmetric unit holds Li at (0.000, 0.000, 0.500), Y at (0.500, 0.500, 0.500) and Co at (0.000, 0.000, 0.000).

=====

Record 15
Entry from the Alexandria database: a geometry-optimized LiY3Co8 structure (PBE-GGA).

The value obtained for the formation enthalpy at 0 K is -0.1237 eV per atom.

It has space group R3m (No. 160, hexagonal axes), with a = 5.0186 Å, b = 5.0186 Å, c = 24.5196 Å, α = 90.00°, β = 90.00° and γ = 120.00°. The asymmetric unit holds Li at (0.0000, 0.0000, 0.0000), Y at (0.0000, 0.0000, 0.1205), Y at (0.0000, 0.0000, 0.5040), Y at (0.0000, 0.0000, 0.6330), Co at (0.0000, 0.0000, 0.3162), Co at (0.0000, 0.0000, 0.8149), Co at (0.0005, 0.5003, 0.0645) and Co at (0.0015, 0.5008, 0.5667).

=====

Record 16
Entry from the Alexandria database: a geometry-optimized LiY2Co2 structure (PBE-GGA).

As for the energy above the most stable polymorph in this dataset: 211 meV/atom. The value obtained for the formation enthalpy at 0 K is 0.1600 eV per atom.

It has space group P4/mbm (No. 127), with a = 7.858 Å, b = 7.858 Å, c = 3.187 Å, α = 90.00°, β = 90.00° and γ = 90.00°. The asymmetric unit holds Li at (0.000, 0.000, 0.000), Y at (0.153, 0.347, 0.000) and Co at (0.140, 0.640, 0.500).

=====

Record 17
Entry from the Alexandria database: a geometry-optimized Li3YCo structure (PBE-GGA).

As for the energy above the most stable polymorph in this dataset: 1311 meV/atom. The value obtained for the formation enthalpy at 0 K is 1.7553 eV per atom.

It has space group Pm-3m (No. 221), with a = 4.948 Å, b = 4.948 Å, c = 4.948 Å, α = 90.00°, β = 90.00° and γ = 90.00°. The asymmetric unit holds Li at (0.000, 0.000, 0.500), Y at (0.000, 0.000, 0.000) and Co at (0.500, 0.500, 0.500).

=====

Record 18
Entry from the Alexandria database: a geometry-optimized LiY2Co structure (PBE-GGA).

The value obtained for the formation enthalpy at 0 K is -0.0590 eV per atom.

It has space group P4/mmm (No. 123), with a = 3.396 Å, b = 3.396 Å, c = 7.958 Å, α = 90.00°, β = 90.00° and γ = 90.00°. The asymmetric unit holds Li at (0.000, 0.000, 0.000), Y at (0.500, 0.500, 0.296) and Co at (0.000, 0.000, 0.500).

=====

Record 19
Entry from the Alexandria database: a geometry-optimized LiYCo3 structure (PBE-GGA).

As for the energy above the most stable polymorph in this dataset: 0 meV/atom. The value obtained for the formation enthalpy at 0 K is 0.5036 eV per atom.

It has space group Pm-3m (No. 221), with a = 4.150 Å, b = 4.150 Å, c = 4.150 Å, α = 90.00°, β = 90.00° and γ = 90.00°. The asymmetric unit holds Li at (0.000, 0.000, 0.000), Y at (0.500, 0.500, 0.500) and Co at (0.000, 0.000, 0.500).

=====

Record 20
Entry from the Alexandria database: a geometry-optimized LiY2Co structure (PBE-GGA).

The value obtained for the formation enthalpy at 0 K is 0.2809 eV per atom.

It has space group Immm (No. 71), with a = 3.429 Å, b = 3.469 Å, c = 15.373 Å, α = 90.00°, β = 90.00° and γ = 90.00°. The asymmetric unit holds Li at (0.000, 0.000, 0.000), Y at (0.000, 0.000, 0.340) and Co at (0.000, 0.000, 0.500).